<i>
DFT (PBE) results for a relaxed structure of AcLuSi2.

The structure in CIF format:
```
data_AcLuSi2
_symmetry_space_group_name_H-M 'P 4/m m m'
_symmetry_Int_Tables_number 123
_symmetry_space_group_name_Hall '-P 4 2'
_cell_length_a 3.7956
_cell_length_b 3.7956
_cell_length_c 6.6566
_cell_angle_alpha 90.00
_cell_angle_beta 90.00
_cell_angle_gamma 90.00
loop_
_atom_site_label
_atom_site_type_symbol
_atom_site_fract_x
_atom_site_fract_y
_atom_site_fract_z
Ac1 Ac 0.0000 0.0000 0.0000
Lu1 Lu 0.0000 0.0000 0.5000
Si1 Si 0.5000 0.5000 0.3157
```

<ii>
DFT (PBE) results for a relaxed structure of AcLuSi2.

The structure in CIF format:
```
data_AcLuSi2
_symmetry_space_group_name_H-M 'R -3 m'
_symmetry_Int_Tables_number 166
_symmetry_space_group_name_Hall '-R 3 2"'
_cell_length_a 4.6299
_cell_length_b 4.6299
_cell_length_c 17.1721
_cell_angle_alpha 90.00
_cell_angle_beta 90.00
_cell_angle_gamma 120.00
loop_
_atom_site_label
_atom_site_type_symbol
_atom_site_fract_x
_atom_site_fract_y
_atom_site_fract_z
Ac1 Ac 0.0000 0.0000 0.0000
Lu1 Lu 0.0000 0.0000 0.5000
Si1 Si 0.0000 0.0000 0.2264
```

Name the most stable of them. <i>.

<i>
DFT (PBE) results for a relaxed structure of AcSm2Lu.

The structure in CIF format:
```
data_AcSm2Lu
_symmetry_space_group_name_H-M 'P 4/m m m'
_symmetry_Int_Tables_number 123
_symmetry_space_group_name_Hall '-P 4 2'
_cell_length_a 5.1687
_cell_length_b 5.1687
_cell_length_c 5.2455
_cell_angle_alpha 90.00
_cell_angle_beta 90.00
_cell_angle_gamma 90.00
loop_
_atom_site_label
_atom_site_type_symbol
_atom_site_fract_x
_atom_site_fract_y
_atom_site_fract_z
Ac1 Ac 0.0000 0.0000 0.0000
Sm1 Sm 0.0000 0.5000 0.5000
Lu1 Lu 0.5000 0.5000 0.0000
```

<ii>
DFT (PBE) results for a relaxed structure of AcSm2Lu.

The structure in CIF format:
```
data_AcSm2Lu
_symmetry_space_group_name_H-M 'P 4/m m m'
_symmetry_Int_Tables_number 123
_symmetry_space_group_name_Hall '-P 4 2'
_cell_length_a 3.7013
_cell_length_b 3.7013
_cell_length_c 10.3013
_cell_angle_alpha 90.00
_cell_angle_beta 90.00
_cell_angle_gamma 90.00
loop_
_atom_site_label
_atom_site_type_symbol
_atom_site_fract_x
_atom_site_fract_y
_atom_site_fract_z
Ac1 Ac 0.0000 0.0000 0.0000
Sm1 Sm 0.5000 0.5000 0.2666
Lu1 Lu 0.0000 0.0000 0.5000
```

<iii>
DFT (PBE) results for a relaxed structure of AcSm2Lu.

The structure in CIF format:
```
data_AcSm2Lu
_symmetry_space_group_name_H-M 'R -3 m'
_symmetry_Int_Tables_number 166
_symmetry_space_group_name_Hall '-R 3 2"'
_cell_length_a 3.6031
_cell_length_b 3.6031
_cell_length_c 38.2160
_cell_angle_alpha 90.00
_cell_angle_beta 90.00
_cell_angle_gamma 120.00
loop_
_atom_site_label
_atom_site_type_symbol
_atom_site_fract_x
_atom_site_fract_y
_atom_site_fract_z
Ac1 Ac 0.0000 0.0000 0.0000
Sm1 Sm 0.0000 0.0000 0.0932
Lu1 Lu 0.0000 0.0000 0.5000
```

Name the most stable of them. <i>.

<i>
DFT (PBE) results for a relaxed structure of AcTbLu2.

The structure in CIF format:
```
data_AcTbLu2
_symmetry_space_group_name_H-M 'F m -3 m'
_symmetry_Int_Tables_number 225
_symmetry_space_group_name_Hall '-F 4 2 3'
_cell_length_a 8.1430
_cell_length_b 8.1430
_cell_length_c 8.1430
_cell_angle_alpha 90.00
_cell_angle_beta 90.00
_cell_angle_gamma 90.00
loop_
_atom_site_label
_atom_site_type_symbol
_atom_site_fract_x
_atom_site_fract_y
_atom_site_fract_z
Ac1 Ac 0.0000 0.0000 0.0000
Tb1 Tb 0.0000 0.0000 0.5000
Lu1 Lu 0.2500 0.2500 0.2500
```

<ii>
DFT (PBE) results for a relaxed structure of AcTbLu2.

The structure in CIF format:
```
data_AcTbLu2
_symmetry_space_group_name_H-M 'P 4/m m m'
_symmetry_Int_Tables_number 123
_symmetry_space_group_name_Hall '-P 4 2'
_cell_length_a 5.1932
_cell_length_b 5.1932
_cell_length_c 4.9666
_cell_angle_alpha 90.00
_cell_angle_beta 90.00
_cell_angle_gamma 90.00
loop_
_atom_site_label
_atom_site_type_symbol
_atom_site_fract_x
_atom_site_fract_y
_atom_site_fract_z
Ac1 Ac 0.0000 0.0000 0.0000
Tb1 Tb 0.5000 0.5000 0.0000
Lu1 Lu 0.0000 0.5000 0.5000
```

<iii>
DFT (PBE) results for a relaxed structure of AcTbLu2.

The structure in CIF format:
```
data_AcTbLu2
_symmetry_space_group_name_H-M 'P 4/m m m'
_symmetry_Int_Tables_number 123
_symmetry_space_group_name_Hall '-P 4 2'
_cell_length_a 4.1110
_cell_length_b 4.1110
_cell_length_c 7.9912
_cell_angle_alpha 90.00
_cell_angle_beta 90.00
_cell_angle_gamma 90.00
loop_
_atom_site_label
_atom_site_type_symbol
_atom_site_fract_x
_atom_site_fract_y
_atom_site_fract_z
Ac1 Ac 0.0000 0.0000 0.0000
Tb1 Tb 0.0000 0.0000 0.5000
Lu1 Lu 0.5000 0.5000 0.2717
```

<iv>
DFT (PBE) results for a relaxed structure of AcTbLu2.

The structure in CIF format:
```
data_AcTbLu2
_symmetry_space_group_name_H-M 'R -3 m'
_symmetry_Int_Tables_number 166
_symmetry_space_group_name_Hall '-R 3 2"'
_cell_length_a 3.5358
_cell_length_b 3.5358
_cell_length_c 37.6388
_cell_angle_alpha 90.00
_cell_angle_beta 90.00
_cell_angle_gamma 120.00
loop_
_atom_site_label
_atom_site_type_symbol
_atom_site_fract_x
_atom_site_fract_y
_atom_site_fract_z
Ac1 Ac 0.0000 0.0000 0.0000
Tb1 Tb 0.0000 0.0000 0.5000
Lu1 Lu 0.0000 0.0000 0.0928
```

Name the most stable of them. <ii>.

<i>
DFT (PBE) results for a relaxed structure of AcTbLu.

The structure in CIF format:
```
data_AcTbLu
_symmetry_space_group_name_H-M 'P 3 m 1'
_symmetry_Int_Tables_number 156
_symmetry_space_group_name_Hall 'P 3 -2"'
_cell_length_a 5.8303
_cell_length_b 5.8303
_cell_length_c 3.5506
_cell_angle_alpha 90.00
_cell_angle_beta 90.00
_cell_angle_gamma 120.00
loop_
_atom_site_label
_atom_site_type_symbol
_atom_site_fract_x
_atom_site_fract_y
_atom_site_fract_z
Ac1 Ac 0.0000 0.0000 0.0000
Tb1 Tb 0.6667 0.3333 0.5013
Lu1 Lu 0.3333 0.6667 0.0037
```

<ii>
DFT (PBE) results for a relaxed structure of AcTbLu.

The structure in CIF format:
```
data_AcTbLu
_symmetry_space_group_name_H-M 'I 4 m m'
_symmetry_Int_Tables_number 107
_symmetry_space_group_name_Hall 'I 4 -2'
_cell_length_a 3.7150
_cell_length_b 3.7150
_cell_length_c 15.2362
_cell_angle_alpha 90.00
_cell_angle_beta 90.00
_cell_angle_gamma 90.00
loop_
_atom_site_label
_atom_site_type_symbol
_atom_site_fract_x
_atom_site_fract_y
_atom_site_fract_z
Ac1 Ac 0.0000 0.0000 0.0000
Tb1 Tb 0.0000 0.0000 0.6752
Lu1 Lu 0.0000 0.0000 0.3280
```

Name the most stable of them. <ii>.

<i>
DFT (PBE) results for a relaxed structure of AcLuTe.

The structure in CIF format:
```
data_AcLuTe
_symmetry_space_group_name_H-M 'P 3 m 1'
_symmetry_Int_Tables_number 156
_symmetry_space_group_name_Hall 'P 3 -2"'
_cell_length_a 5.3092
_cell_length_b 5.3092
_cell_length_c 4.1786
_cell_angle_alpha 90.00
_cell_angle_beta 90.00
_cell_angle_gamma 120.00
loop_
_atom_site_label
_atom_site_type_symbol
_atom_site_fract_x
_atom_site_fract_y
_atom_site_fract_z
Ac1 Ac 0.0000 0.0000 0.0000
Lu1 Lu 0.6667 0.3333 0.4999
Te1 Te 0.3333 0.6667 0.4982
```

<ii>
DFT (PBE) results for a relaxed structure of AcLuTe.

The structure in CIF format:
```
data_AcLuTe
_symmetry_space_group_name_H-M 'I 4 m m'
_symmetry_Int_Tables_number 107
_symmetry_space_group_name_Hall 'I 4 -2'
_cell_length_a 3.9774
_cell_length_b 3.9774
_cell_length_c 12.5804
_cell_angle_alpha 90.00
_cell_angle_beta 90.00
_cell_angle_gamma 90.00
loop_
_atom_site_label
_atom_site_type_symbol
_atom_site_fract_x
_atom_site_fract_y
_atom_site_fract_z
Ac1 Ac 0.0000 0.0000 0.0000
Lu1 Lu 0.0000 0.0000 0.3085
Te1 Te 0.0000 0.0000 0.6938
```

Name the most stable of them. <ii>.

<i>
DFT (PBE) results for a relaxed structure of AcLu2Th.

The structure in CIF format:
```
data_AcLu2Th
_symmetry_space_group_name_H-M 'P 4/m m m'
_symmetry_Int_Tables_number 123
_symmetry_space_group_name_Hall '-P 4 2'
_cell_length_a 3.6840
_cell_length_b 3.6840
_cell_length_c 9.8841
_cell_angle_alpha 90.00
_cell_angle_beta 90.00
_cell_angle_gamma 90.00
loop_
_atom_site_label
_atom_site_type_symbol
_atom_site_fract_x
_atom_site_fract_y
_atom_site_fract_z
Ac1 Ac 0.0000 0.0000 0.0000
Lu1 Lu 0.5000 0.5000 0.2688
Th1 Th 0.0000 0.0000 0.5000
```

<ii>
DFT (PBE) results for a relaxed structure of AcLu2Th.

The structure in CIF format:
```
data_AcLu2Th
_symmetry_space_group_name_H-M 'P 4/m m m'
_symmetry_Int_Tables_number 123
_symmetry_space_group_name_Hall '-P 4 2'
_cell_length_a 5.8777
_cell_length_b 5.8777
_cell_length_c 3.8862
_cell_angle_alpha 90.00
_cell_angle_beta 90.00
_cell_angle_gamma 90.00
loop_
_atom_site_label
_atom_site_type_symbol
_atom_site_fract_x
_atom_site_fract_y
_atom_site_fract_z
Ac1 Ac 0.0000 0.0000 0.0000
Lu1 Lu 0.0000 0.5000 0.5000
Th1 Th 0.5000 0.5000 0.0000
```

<iii>
DFT (PBE) results for a relaxed structure of AcLu2Th.

The structure in CIF format:
```
data_AcLu2Th
_symmetry_space_group_name_H-M 'F m -3 m'
_symmetry_Int_Tables_number 225
_symmetry_space_group_name_Hall '-F 4 2 3'
_cell_length_a 8.1262
_cell_length_b 8.1262
_cell_length_c 8.1262
_cell_angle_alpha 90.00
_cell_angle_beta 90.00
_cell_angle_gamma 90.00
loop_
_atom_site_label
_atom_site_type_symbol
_atom_site_fract_x
_atom_site_fract_y
_atom_site_fract_z
Ac1 Ac 0.0000 0.0000 0.0000
Lu1 Lu 0.2500 0.2500 0.2500
Th1 Th 0.0000 0.0000 0.5000
```

Name the most stable of them. <i>.